# La2SmYS5

A relaxed La2SmYS5 crystal (PBE, the Alexandria database).

Output
The crystal system is orthorhombic.

a = 4.0746 Å, b = 8.6563 Å, c = 12.7783 Å
α = 90.00°, β = 90.00°, γ = 103.61°
Positions (direct):
La 0.8589 0.7179 0.7980
La 0.1032 0.2064 0.6865
La 0.1411 0.2821 0.2980
La 0.8968 0.7936 0.1865
Sm 0.7874 0.5748 0.5120
Sm 0.2126 0.4252 0.0120
Y 0.5317 0.0635 0.9567
Y 0.4683 0.9365 0.4567
S 0.3750 0.7499 0.9989
S 0.6814 0.3628 0.8607
S 0.4870 0.9739 0.7633
S 0.2758 0.5515 0.6662
S 0.9411 0.8823 0.5816
S 0.6250 0.2501 0.4989
S 0.3186 0.6372 0.3607
S 0.5130 0.0261 0.2633
S 0.7242 0.4485 0.1662
S 0.0589 0.1177 0.0816

***

# La4Sm3YS8

A relaxed La4Sm3YS8 crystal (PBE, the Alexandria database).

Output
The crystal system is trigonal.

a = 8.1315 Å, b = 8.1540 Å, c = 8.1304 Å
α = 119.89°, β = 120.00°, γ = 90.00°
Positions (direct):
La 0.5000 0.0000 0.0000
La 0.5000 0.0000 0.5000
La 0.0000 0.0000 0.0000
La 0.0000 0.0000 0.5000
Sm 0.5000 0.5000 0.0000
Sm 0.5000 0.5000 0.5000
Sm 0.0000 0.5000 0.5000
Y 0.0000 0.5000 0.0000
S 0.2432 0.7363 0.9931
S 0.2432 0.7363 0.4865
S 0.2535 0.2606 0.5071
S 0.7498 0.7363 0.9931
S 0.2502 0.2637 0.0069
S 0.7465 0.7394 0.4929
S 0.7568 0.2637 0.5135
S 0.7568 0.2637 0.0069

***

# LaSm2YS6

A relaxed LaSm2YS6 crystal (PBE, the Alexandria database).

Output
The crystal system is trigonal.

a = 7.1177 Å, b = 7.1177 Å, c = 7.4902 Å
α = 61.63°, β = 61.63°, γ = 60.00°
Positions (direct):
La 0.8096 0.8096 0.5712
Sm 0.5209 0.5209 0.4374
Sm 0.0167 0.0168 0.9497
Y 0.3163 0.3162 0.0513
S 0.6102 0.2158 0.2498
S 0.2158 0.9241 0.2498
S 0.9242 0.6102 0.2499
S 0.4024 0.7130 0.7520
S 0.7130 0.1325 0.7521
S 0.1325 0.4025 0.7521

***

# LaSmY2S6

A relaxed LaSmY2S6 crystal (PBE, the Alexandria database).

Output
The crystal system is trigonal.

a = 7.0776 Å, b = 7.0776 Å, c = 7.4297 Å
α = 61.55°, β = 61.55°, γ = 60.00°
Positions (direct):
La 0.8077 0.8077 0.5769
Sm 0.3126 0.3126 0.0622
Y 0.5176 0.5176 0.4473
Y 0.0151 0.0152 0.9546
S 0.6248 0.2247 0.2456
S 0.2247 0.9049 0.2456
S 0.9050 0.6248 0.2457
S 0.3907 0.7244 0.7457
S 0.7244 0.1391 0.7458
S 0.1391 0.3908 0.7458

***

# La3SmY3S8

A relaxed La3SmY3S8 crystal (PBE, the Alexandria database).

Output
The crystal system is trigonal.

a = 7.9886 Å, b = 7.9895 Å, c = 8.1237 Å
α = 119.45°, β = 90.00°, γ = 120.01°
Positions (direct):
La 0.0000 0.0000 0.0000
La 0.0000 0.5000 0.0000
La 0.5000 0.5000 0.0000
Sm 0.0000 0.0000 0.5000
Y 0.5000 0.0000 0.5000
Y 0.5000 0.5000 0.5000
Y 0.0000 0.5000 0.5000
S 0.2561 0.5123 0.2684
S 0.7439 0.4877 0.7316
S 0.7513 0.5025 0.2637
S 0.2487 0.4975 0.7363
S 0.7513 0.0125 0.2638
S 0.2487 0.9875 0.7362
S 0.2612 0.0124 0.2638
S 0.7388 0.9876 0.7362

***

# LaSmY2S4

A relaxed LaSmY2S4 crystal (PBE, the Alexandria database).

Output
The crystal system is monoclinic.

a = 3.9568 Å, b = 7.0105 Å, c = 6.9059 Å
α = 71.03°, β = 90.00°, γ = 90.00°
Positions (direct):
La 0.5000 0.5000 0.0000
Sm 0.0000 0.5000 0.5000
Y 0.0000 0.0000 0.0000
Y 0.5000 0.0000 0.5000
S 0.0000 0.7661 0.7401
S 0.0000 0.2339 0.2599
S 0.5000 0.7624 0.2499
S 0.5000 0.2376 0.7501

***

# La3Sm4YS8

A relaxed La3Sm4YS8 crystal (PBE, the Alexandria database).

Output
The crystal system is trigonal.

a = 8.1139 Å, b = 8.1062 Å, c = 8.1138 Å
α = 120.03°, β = 120.00°, γ = 90.00°
Positions (direct):
La 0.5000 0.5000 0.0000
La 0.5000 0.5000 0.5000
La 0.0000 0.5000 0.5000
Sm 0.5000 0.0000 0.0000
Sm 0.5000 0.0000 0.5000
Sm 0.0000 0.0000 0.0000
Sm 0.0000 0.0000 0.5000
Y 0.0000 0.5000 0.0000
S 0.2468 0.7536 0.0068
S 0.2468 0.7536 0.4936
S 0.2464 0.2393 0.4929
S 0.7600 0.7536 0.0068
S 0.2400 0.2464 0.9932
S 0.7536 0.7607 0.5071
S 0.7532 0.2464 0.5064
S 0.7532 0.2464 0.9932

***

# La2Sm3YS6

A relaxed La2Sm3YS6 crystal (PBE, the Alexandria database).

Output
The crystal system is monoclinic.

a = 4.0281 Å, b = 8.1328 Å, c = 9.0286 Å
α = 102.89°, β = 102.89°, γ = 90.00°
Positions (direct):
La 0.8338 0.6663 0.6676
La 0.1662 0.3337 0.3324
Sm 0.5000 0.5000 0.0000
Sm 0.8316 0.1660 0.6631
Sm 0.1684 0.8340 0.3369
Y 0.5000 0.0000 0.0000
S 0.3365 0.9250 0.6730
S 0.6643 0.5895 0.3286
S 0.6635 0.0750 0.3270
S 0.9967 0.2420 0.9933
S 0.0033 0.7580 0.0067
S 0.3357 0.4105 0.6714

***

# LaSmYS3

A relaxed LaSmYS3 crystal (PBE, the Alexandria database).

Output
The crystal system is monoclinic.

a = 3.9614 Å, b = 6.9392 Å, c = 10.4984 Å
α = 102.60°, β = 90.00°, γ = 90.00°
Positions (direct):
La 0.2500 0.3453 0.3072
La 0.7500 0.6547 0.6928
Sm 0.2500 0.7663 0.0552
Sm 0.7500 0.2337 0.9448
Y 0.2500 0.1262 0.6311
Y 0.7500 0.8738 0.3689
S 0.7500 0.0526 0.1598
S 0.2500 0.9474 0.8402
S 0.2500 0.7307 0.5000
S 0.7500 0.2693 0.5000
S 0.7500 0.5499 0.1656
S 0.2500 0.4501 0.8344

***

# LaSm4Y3S8

A relaxed LaSm4Y3S8 crystal (PBE, the Alexandria database).

Output
The crystal system is trigonal.

a = 7.9914 Å, b = 7.9920 Å, c = 7.9916 Å
α = 120.00°, β = 120.00°, γ = 90.00°
Positions (direct):
La 0.0000 0.5000 0.0000
Sm 0.5000 0.0000 0.0000
Sm 0.5000 0.0000 0.5000
Sm 0.0000 0.0000 0.0000
Sm 0.0000 0.0000 0.5000
Y 0.5000 0.5000 0.0000
Y 0.5000 0.5000 0.5000
Y 0.0000 0.5000 0.5000
S 0.2532 0.7468 0.9936
S 0.2532 0.7468 0.5064
S 0.2530 0.2592 0.5061
S 0.7405 0.7468 0.9936
S 0.2595 0.2532 0.0064
S 0.7470 0.7408 0.4939
S 0.7468 0.2532 0.4936
S 0.7468 0.2532 0.0064

***

# La2SmZnS5

A relaxed La2SmZnS5 crystal (PBE, the Alexandria database).

Output
The crystal system is orthorhombic.

a = 3.9583 Å, b = 8.7542 Å, c = 12.2210 Å
α = 90.00°, β = 90.00°, γ = 103.07°
Positions (direct):
La 0.8734 0.7468 0.8359
La 0.1173 0.2347 0.6893
La 0.1266 0.2532 0.3359
La 0.8827 0.7653 0.1893
Sm 0.8102 0.6205 0.5246
Sm 0.1898 0.3795 0.0246
Zn 0.5461 0.0921 0.9305
Zn 0.4539 0.9079 0.4305
S 0.3511 0.7022 0.0135
S 0.6822 0.3644 0.8595
S 0.4921 0.9843 0.7590
S 0.2981 0.5961 0.6853
S 0.9753 0.9505 0.5264
S 0.6489 0.2978 0.5135
S 0.3178 0.6356 0.3595
S 0.5079 0.0157 0.2590
S 0.7019 0.4039 0.1853
S 0.0247 0.0495 0.0264

***

# La2SnS4

A relaxed La2SnS4 crystal (PBE, the Alexandria database).

Output
The crystal system is monoclinic.

a = 4.2252 Å, b = 7.4173 Å, c = 8.0211 Å
α = 120.07°, β = 105.27°, γ = 90.00°
Positions (direct):
La 0.7163 0.7216 0.4326
La 0.2837 0.2784 0.5674
Sn 0.0000 0.0000 0.0000
S 0.8706 0.1742 0.7412
S 0.1294 0.8258 0.2588
S 0.6460 0.2775 0.2919
S 0.3540 0.7225 0.7081

***

# La2SnS

A relaxed La2SnS crystal (PBE, the Alexandria database).

Output
The calculation puts the energy above the most stable polymorph in this dataset at 246.2 meV/atom. The crystal system is tetragonal.

a = 7.9936 Å, b = 7.9936 Å, c = 6.9333 Å
α = 54.80°, β = 54.80°, γ = 90.00°
Positions (direct):
S 0.5000 0.5000 0.0000
S 0.2500 0.7500 0.5000
Sn 0.0000 0.0000 0.0000
Sn 0.7500 0.2500 0.5000
La 0.5887 0.1250 0.2500
La 0.1613 0.6250 0.2500
La 0.3750 0.4113 0.7500
La 0.8750 0.8387 0.7500

***

# LaSn3S

A relaxed LaSn3S crystal (PBE, the Alexandria database).

Output
The calculation puts the energy above the most stable polymorph in this dataset at 1137.1 meV/atom. The crystal system is cubic.

a = 6.0442 Å, b = 6.0442 Å, c = 6.0442 Å
α = 90.00°, β = 90.00°, γ = 90.00°
Positions (direct):
S 0.5000 0.5000 0.5000
Sn 0.0000 0.5000 0.0000
Sn 0.0000 0.0000 0.5000
Sn 0.5000 0.0000 0.0000
La 0.0000 0.0000 0.0000

***

# La2SnS

A relaxed La2SnS crystal (PBE, the Alexandria database).

Output
The calculation puts the energy above the most stable polymorph in this dataset at 70.7 meV/atom. The crystal system is trigonal.

a = 4.0431 Å, b = 4.0431 Å, c = 8.7306 Å
α = 76.61°, β = 76.61°, γ = 60.00°
Positions (direct):
La 0.0684 0.0684 0.7949
La 0.2650 0.2650 0.2050
Sn 0.4994 0.4994 0.5016
S 0.6672 0.6672 0.9984

***

# LaSn3S

A relaxed LaSn3S crystal (PBE, the Alexandria database).

Output
The calculation puts the energy above the most stable polymorph in this dataset at 0.0 meV/atom. The crystal system is cubic.

a = 5.3015 Å, b = 5.3015 Å, c = 5.3015 Å
α = 90.00°, β = 90.00°, γ = 90.00°
Positions (direct):
S 0.0000 0.0000 0.0000
Sn 0.0000 0.5000 0.0000
Sn 0.0000 0.0000 0.5000
Sn 0.5000 0.0000 0.0000
La 0.5000 0.5000 0.5000

***

# LaSnS2

A relaxed LaSnS2 crystal (PBE, the Alexandria database).

Output
The crystal system is tetragonal.

a = 5.7168 Å, b = 5.7168 Å, c = 8.8838 Å
α = 71.23°, β = 71.23°, γ = 90.00°
Positions (direct):
S 0.6347 0.1250 0.2500
S 0.1153 0.6250 0.2500
S 0.3750 0.3653 0.7500
S 0.8750 0.8847 0.7500
Sn 0.5000 0.5000 0.0000
Sn 0.2500 0.7500 0.5000
La 0.0000 0.0000 0.0000
La 0.7500 0.2500 0.5000

***

# La2Sn2S

A relaxed La2Sn2S crystal (PBE, the Alexandria database).

Output
The crystal system is tetragonal.

a = 7.9366 Å, b = 7.9366 Å, c = 4.9793 Å
α = 90.00°, β = 90.00°, γ = 90.00°
Positions (direct):
S 0.0000 0.0000 0.0000
S 0.5000 0.5000 0.0000
Sn 0.1243 0.6243 0.5000
Sn 0.6243 0.8757 0.5000
Sn 0.8757 0.3757 0.5000
Sn 0.3757 0.1243 0.5000
La 0.3203 0.8203 0.0000
La 0.8203 0.6797 0.0000
La 0.6797 0.1797 0.0000
La 0.1797 0.3203 0.0000

***

# LaSn2S

A relaxed LaSn2S crystal (PBE, the Alexandria database).

Output
The crystal system is tetragonal.

a = 8.9804 Å, b = 8.9804 Å, c = 6.9595 Å
α = 49.82°, β = 49.82°, γ = 90.00°
Positions (direct):
S 0.5000 0.5000 0.0000
S 0.2500 0.7500 0.5000
Sn 0.5626 0.1250 0.2500
Sn 0.1874 0.6250 0.2500
Sn 0.3750 0.4374 0.7500
Sn 0.8750 0.8126 0.7500
La 0.0000 0.0000 0.0000
La 0.7500 0.2500 0.5000

***

# La2SnS

A relaxed La2SnS crystal (PBE, the Alexandria database).

Output
The calculation puts the energy above the most stable polymorph in this dataset at 331.3 meV/atom. The crystal system is cubic.

a = 5.4173 Å, b = 5.4173 Å, c = 5.4173 Å
α = 60.00°, β = 60.00°, γ = 60.00°
Positions (direct):
S 0.0000 0.0000 0.0000
Sn 0.5000 0.5000 0.5000
La 0.2500 0.2500 0.2500
La 0.7500 0.7500 0.7500

***

# La4Sn2S

A relaxed La4Sn2S crystal (PBE, the Alexandria database).

Output
The crystal system is tetragonal.

a = 5.3687 Å, b = 5.3687 Å, c = 9.2439 Å
α = 73.12°, β = 73.12°, γ = 90.00°
Positions (direct):
S 0.0000 0.0000 0.0000
Sn 0.3662 0.3662 0.2675
Sn 0.6338 0.6338 0.7325
La 0.1727 0.1727 0.6546
La 0.8273 0.8273 0.3454
La 0.0000 0.5000 0.0000
La 0.5000 0.0000 0.0000

***

# La3SnS

A relaxed La3SnS crystal (PBE, the Alexandria database).

Output
The calculation puts the energy above the most stable polymorph in this dataset at 0.0 meV/atom. The crystal system is cubic.

a = 5.4705 Å, b = 5.4705 Å, c = 5.4705 Å
α = 90.00°, β = 90.00°, γ = 90.00°
Positions (direct):
S 0.0000 0.0000 0.0000
Sn 0.5000 0.5000 0.5000
La 0.0000 0.5000 0.0000
La 0.0000 0.0000 0.5000
La 0.5000 0.0000 0.0000

***

Number 1: uncorrected formation energy -193.93 kJ/mol of atoms. Number 2: uncorrected formation energy -202.04 kJ/mol of atoms. Number 3: uncorrected formation energy -199.03 kJ/mol of atoms. Number 4: uncorrected formation energy -200.36 kJ/mol of atoms. Number 5: uncorrected formation energy -202.76 kJ/mol of atoms. Number 6: uncorrected formation energy -197.43 kJ/mol of atoms. Number 7: uncorrected formation energy -199.56 kJ/mol of atoms. Number 8: uncorrected formation energy -199.07 kJ/mol of atoms. Number 9: uncorrected formation energy -193.88 kJ/mol of atoms. Number 10: uncorrected formation energy -195.19 kJ/mol of atoms. Number 11: uncorrected formation energy -176.52 kJ/mol of atoms. Number 12: uncorrected formation energy -154.10 kJ/mol of atoms. Number 13: uncorrected formation energy -109.90 kJ/mol of atoms. Number 14: uncorrected formation energy 94.88 kJ/mol of atoms. Number 15: uncorrected formation energy -126.83 kJ/mol of atoms. Number 16: uncorrected formation energy -14.83 kJ/mol of atoms. Number 17: uncorrected formation energy -92.32 kJ/mol of atoms. Number 18: uncorrected formation energy -99.66 kJ/mol of atoms. Number 19: uncorrected formation energy -42.61 kJ/mol of atoms. Number 20: uncorrected formation energy -101.68 kJ/mol of atoms. Number 21: uncorrected formation energy -90.92 kJ/mol of atoms. Number 22: uncorrected formation energy -99.45 kJ/mol of atoms.